[1]
The following is a DFT calculation (PBE-GGA) of CePuPa after structural relaxation.

Output
Excess energy over the best structure of this formula in the dataset, meV/atom: 278.1
Symmetry: No. 129
Energy of formation, eV per atom: 0.33

Cell lengths 4.9815, 4.9802, 6.4056 Å; angles 90.02, 90.00, 90.00 degrees
Last column: nearest neighbours and their distance in Å.
Positions (direct):
Ce  0.7500  0.7502  0.8929  1 Pa 2.86
Pu  0.2500  0.7498  0.4998  4 Pa 2.69
Pa  0.7500  0.7502  0.3401  4 Pu 2.69, 1 Ce 2.86
Ce  0.2500  0.2498  0.1071  1 Pa 2.86
Pa  0.2500  0.2498  0.6599  4 Pu 2.69, 1 Ce 2.86
Pu  0.7500  0.2502  0.5002  4 Pa 2.69

=====

[2]
The following is a DFT calculation (PBE-GGA) of Tb2NpO6 after structural relaxation.

Output
Formation energy (no corrections), eV per atom: -3.263
Symmetry: No. 136

Cell lengths 5.1058, 5.1058, 10.4481 Å; angles 90.00, 90.00, 90.00 degrees
Last column: nearest neighbours and their distance in Å.
Positions (direct):
Np  0.5000  0.5000  0.5000  6 O 2.09
O  0.7107  0.7107  0.0000  1 Np 2.09, 2 Tb 2.31
O  0.6845  0.6845  0.3461  1 Np 2.09, 2 Tb 2.28-2.30
O  0.1845  0.8155  0.8461  1 Np 2.09, 2 Tb 2.28-2.30
O  0.6845  0.6845  0.6539  1 Np 2.09, 2 Tb 2.28-2.30
O  0.1845  0.8155  0.1539  1 Np 2.09, 2 Tb 2.28-2.30
O  0.2893  0.2893  0.0000  1 Np 2.09, 2 Tb 2.31
O  0.3155  0.3155  0.6539  1 Np 2.09, 2 Tb 2.28-2.30
O  0.7893  0.2107  0.5000  1 Np 2.09, 2 Tb 2.31
Np  0.0000  0.0000  0.0000  6 O 2.09
O  0.2107  0.7893  0.5000  1 Np 2.09, 2 Tb 2.31
O  0.3155  0.3155  0.3461  1 Np 2.09, 2 Tb 2.28-2.30
Tb  0.0000  0.0000  0.3338  6 O 2.28-2.31
O  0.8155  0.1845  0.1539  1 Np 2.09, 2 Tb 2.28-2.30
Tb  0.5000  0.5000  0.8338  6 O 2.28-2.31
Tb  0.5000  0.5000  0.1662  6 O 2.28-2.31
Tb  0.0000  0.0000  0.6662  6 O 2.28-2.31
O  0.8155  0.1845  0.8461  1 Np 2.09, 2 Tb 2.28-2.30